Computed, not measured: a relaxed structure of Tl3GaF at the PBE level of DFT.

Geometry as CIF:
```
data_Tl3GaF
_chemical_formula_sum 'Tl3 Ga1 F1'
_cell_length_a 5.538
_cell_length_b 5.538
_cell_length_c 5.538
_cell_angle_alpha 90.00
_cell_angle_beta 90.00
_cell_angle_gamma 90.00
_symmetry_space_group_name_H-M 'P m -3 m'
_symmetry_Int_Tables_number 221
_symmetry_space_group_name_Hall '-P 4 2 3'
loop_
_atom_site_label
_atom_site_type_symbol
_atom_site_fract_x
_atom_site_fract_y
_atom_site_fract_z
Tl1 Tl 0.000 0.000 0.500
Ga1 Ga 0.000 0.000 0.000
F1 F 0.500 0.500 0.500
```

## Properties
For the electronic total energy, the calculation gives -2.578 eV/atom. The value obtained for the energy above the lowest structure with this stoichiometry is 259.3 meV per atom. The value obtained for the size of the total moment is 0.00 μB per formula unit. The formation energy from raw total energies comes out at -0.18 eV/atom.

---

Computed, not measured: a relaxed structure of TlGa2F8 at the PBE level of DFT.

Geometry as CIF:
```
data_TlGa2F8
_chemical_formula_sum 'Tl2 Ga4 F16'
_cell_length_a 8.305
_cell_length_b 6.413
_cell_length_c 5.708
_cell_angle_alpha 90.00
_cell_angle_beta 100.31
_cell_angle_gamma 90.00
_symmetry_space_group_name_H-M 'C 1 2/m 1'
_symmetry_Int_Tables_number 12
loop_
_symmetry_equiv_pos_as_xyz
'x,y,z'
'-x,-y,-z'
'-x,y,-z'
'x,-y,z'
'x+1/2,y+1/2,z'
'-x+1/2,-y+1/2,-z'
'-x+1/2,y+1/2,-z'
'x+1/2,-y+1/2,z'
loop_
_atom_site_label
_atom_site_type_symbol
_atom_site_fract_x
_atom_site_fract_y
_atom_site_fract_z
Tl1 Tl 0.000 0.000 0.000
Ga1 Ga 0.183 0.500 0.453
F1 F 0.068 0.500 0.709
F2 F 0.138 0.191 0.361
F3 F 0.233 0.000 0.827
```

## Properties
For the electronic total energy, the calculation gives -4.378 eV/atom. The value obtained for the size of the total moment is 0.00 μB per formula unit. The formation energy from raw total energies comes out at -2.25 eV/atom.

---

Computed, not measured: a relaxed structure of Tl2GaF4 at the PBE level of DFT.

Geometry as CIF:
```
data_Tl2GaF4
_chemical_formula_sum 'Tl4 Ga2 F8'
_cell_length_a 8.121
_cell_length_b 8.896
_cell_length_c 6.011
_cell_angle_alpha 90.00
_cell_angle_beta 132.50
_cell_angle_gamma 90.00
_symmetry_space_group_name_H-M 'C 1 m 1'
_symmetry_Int_Tables_number 8
loop_
_symmetry_equiv_pos_as_xyz
'x,y,z'
'x,-y,z'
'x+1/2,y+1/2,z'
'x+1/2,-y+1/2,z'
loop_
_atom_site_label
_atom_site_type_symbol
_atom_site_fract_x
_atom_site_fract_y
_atom_site_fract_z
Tl1 Tl 0.000 0.250 0.000
Ga1 Ga 0.484 0.000 0.499
F1 F 0.059 0.291 0.500
F2 F 0.269 0.500 0.917
F3 F 0.354 0.000 0.083
```

## Properties
For the electronic total energy, the calculation gives -4.038 eV/atom. The value obtained for the energy above the lowest structure with this stoichiometry is 38.8 meV per atom. The value obtained for the size of the total moment is 0.92 μB per formula unit. The formation energy from raw total energies comes out at -1.86 eV/atom.

---

Q: The highest size of the total moment belongs to which entry?
A: Tl2GaF4

---

Please write out number 2 again, unchanged.
Computed, not measured: a relaxed structure of TlGa2F8 at the PBE level of DFT.

Geometry as CIF:
```
data_TlGa2F8
_chemical_formula_sum 'Tl2 Ga4 F16'
_cell_length_a 8.305
_cell_length_b 6.413
_cell_length_c 5.708
_cell_angle_alpha 90.00
_cell_angle_beta 100.31
_cell_angle_gamma 90.00
_symmetry_space_group_name_H-M 'C 1 2/m 1'
_symmetry_Int_Tables_number 12
loop_
_symmetry_equiv_pos_as_xyz
'x,y,z'
'-x,-y,-z'
'-x,y,-z'
'x,-y,z'
'x+1/2,y+1/2,z'
'-x+1/2,-y+1/2,-z'
'-x+1/2,y+1/2,-z'
'x+1/2,-y+1/2,z'
loop_
_atom_site_label
_atom_site_type_symbol
_atom_site_fract_x
_atom_site_fract_y
_atom_site_fract_z
Tl1 Tl 0.000 0.000 0.000
Ga1 Ga 0.183 0.500 0.453
F1 F 0.068 0.500 0.709
F2 F 0.138 0.191 0.361
F3 F 0.233 0.000 0.827
```

## Properties
For the electronic total energy, the calculation gives -4.378 eV/atom. The value obtained for the size of the total moment is 0.00 μB per formula unit. The formation energy from raw total energies comes out at -2.25 eV/atom.

---

Q: Which formula does entry 3 have?
A: Tl2GaF4